BaPO2, relaxed, DFT PBE-GGA; total energy = -5.428 eV per atom; formation energy from raw total energies = -1.115 eV/atom; M_tot = 0.0 μB/f.u.
1.0
5.009 0.000 0.000
0.000 5.009 0.000
2.505 2.505 6.036
O P Ba
4 2 2
Direct
0.875 0.769 0.750
0.519 0.125 0.250
0.231 0.625 0.250
0.375 0.481 0.750
0.250 0.750 0.500
0.500 0.500 0.000
0.000 0.000 0.000
0.750 0.250 0.500

Y2AlIrI, relaxed, DFT PBE-GGA; total energy = -5.411 eV per atom; formation energy from raw total energies = 0.005 eV/atom; M_tot = 0.0 μB/f.u.
1.0
5.605 0.000 0.000
0.000 4.475 0.000
0.000 0.000 5.605
Ir I Y Al
1 1 2 1
Direct
0.000 0.500 0.000
0.500 0.500 0.500
0.000 0.000 0.500
0.500 0.000 0.000
0.000 0.000 0.000

KSbH2F8, relaxed, DFT PBE-GGA; total energy = -4.457 eV per atom; M_tot = 0.1 μB/f.u.
1.0
4.903 0.883 0.277
0.893 4.899 -0.146
0.493 -0.158 7.756
F K H Sb
8 1 2 1
Direct
0.663 0.686 0.407
0.237 0.227 0.992
0.254 0.744 0.805
0.208 0.780 0.171
0.337 0.314 0.593
0.746 0.256 0.195
0.763 0.773 0.008
0.792 0.220 0.829
0.000 0.000 0.500
0.317 0.441 0.695
0.683 0.559 0.305
0.000 0.000 0.000

K4Sb3PbO12, relaxed, DFT PBE-GGA; total energy = -5.324 eV per atom; formation energy from raw total energies = -1.326 eV/atom; M_tot = 0.0 μB/f.u.
1.0
7.125 0.000 0.000
-2.375 6.717 0.000
-2.375 -3.359 5.817
Sb O K Pb
3 12 4 1
Direct
0.000 0.500 0.500
0.500 0.500 0.000
0.500 0.000 0.500
0.750 0.250 0.500
0.500 0.750 0.250
0.250 0.750 0.500
0.000 0.737 0.737
0.737 0.000 0.737
0.000 0.263 0.263
0.500 0.250 0.750
0.250 0.500 0.750
0.263 0.263 0.000
0.263 0.000 0.263
0.750 0.500 0.250
0.737 0.737 0.000
0.500 0.000 0.000
0.500 0.500 0.500
0.000 0.500 0.000
0.000 0.000 0.500
0.000 0.000 0.000

LaPb3, relaxed, DFT PBE-GGA; total energy = -4.460 eV per atom; M_tot = 0.0 μB/f.u.
1.0
4.963 0.000 0.000
0.000 4.963 0.000
0.000 0.000 4.963
Pb La
3 1
Direct
0.000 0.500 0.500
0.500 0.000 0.500
0.500 0.500 0.000
0.000 0.000 0.000

CsHoHgO3, relaxed, DFT PBE-GGA; total energy = -5.194 eV per atom; formation energy from raw total energies = -1.760 eV/atom; M_tot = 0.0 μB/f.u.
1.0
-0.251 0.328 -3.644
6.652 -4.891 -0.898
-7.193 -5.272 0.021
Hg O Cs Ho
2 6 2 2
Direct
0.250 0.105 0.614
0.750 0.895 0.386
0.250 0.174 0.875
0.250 0.524 0.878
0.750 0.234 0.562
0.750 0.476 0.122
0.250 0.766 0.438
0.750 0.826 0.125
0.250 0.223 0.231
0.750 0.777 0.769
0.250 0.650 0.128
0.750 0.350 0.872

YTeRu3, relaxed, DFT PBE-GGA; total energy = -6.806 eV per atom; formation energy from raw total energies = 0.680 eV/atom; ΔE to the lowest computed polymorph = 0 meV per atom; M_tot = 0.0 μB/f.u.
1.0
4.794 0.000 0.000
0.000 4.794 0.000
0.000 0.000 4.794
Y Te Ru
1 1 3
Direct
0.500 0.500 0.500
0.000 0.000 0.000
0.000 0.000 0.500
0.000 0.500 0.000
0.500 0.000 0.000

Cr2CoCuH, relaxed, DFT PBE-GGA; total energy = -6.573 eV per atom; M_tot = 2.2 μB/f.u.
1.0
3.605 0.000 0.000
0.000 3.605 0.000
0.000 0.000 3.699
H Cr Co Cu
1 2 1 1
Direct
0.000 0.000 0.000
0.000 0.500 0.000
0.500 0.000 0.000
0.000 0.000 0.500
0.500 0.500 0.500

PmMnCoSi2, relaxed, DFT PBE-GGA; total energy = -7.026 eV per atom; formation energy from raw total energies = -0.652 eV/atom; M_tot = 1.9 μB/f.u.
1.0
3.977 0.000 0.000
0.000 3.977 0.000
-1.989 -1.989 5.021
Si Co Pm Mn
2 1 1 1
Direct
0.628 0.628 0.257
0.372 0.372 0.743
0.750 0.250 0.500
0.000 0.000 0.000
0.250 0.750 0.500

Sm2ErScO6, relaxed, DFT PBE-GGA; total energy = -8.480 eV per atom; formation energy from raw total energies = -3.472 eV/atom; M_tot = 0.0 μB/f.u.
1.0
5.782 0.000 0.000
2.891 5.007 0.000
2.891 1.669 4.948
Sm Sc O Er
2 1 6 1
Direct
0.032 0.032 0.905
0.533 0.533 0.401
0.313 0.313 0.062
0.680 0.113 0.767
0.189 0.956 0.258
0.113 0.440 0.767
0.596 0.189 0.258
0.956 0.596 0.258
0.440 0.681 0.767
0.810 0.810 0.570

Y2MgVPd, relaxed, DFT PBE-GGA; total energy = -5.416 eV per atom; M_tot = 0.8 μB/f.u.
1.0
-0.323 0.235 5.305
3.670 -2.782 0.347
3.214 4.240 0.008
V Pd Mg Y
1 1 1 2
Direct
0.000 0.000 0.000
0.000 0.500 0.000
0.500 0.500 0.500
0.000 0.000 0.500
0.500 0.000 0.000

Tl4AsW, relaxed, DFT PBE-GGA; total energy = -3.295 eV per atom; M_tot = 4.0 μB/f.u.
1.0
0.000 4.393 4.393
4.393 0.000 4.393
4.393 4.393 0.000
Tl As W
4 1 1
Direct
0.875 0.375 0.375
0.375 0.875 0.375
0.375 0.375 0.875
0.375 0.375 0.375
0.000 0.000 0.000
0.750 0.750 0.750

- What is the M_tot in the ninth record?
  1.9 μB/f.u.

- Which of these has the highest total energy?
  Tl4AsW

- Which value of M_tot does entry 10 give?
  0.0 μB/f.u.

- The highest total energy belongs to which entry?
  Tl4AsW